Record 1
This record from Alexandria via LeMat-Bulk describes Cu2NiMo after structural relaxation. The functional is GGA-PBE.

a = 2.5375 Å, b = 4.2637 Å, c = 4.7843 Å
α = 90.00°, β = 100.13°, γ = 90.00°
With the nearest neighbours (Å) after each atom.
Element x y z (fractional)
Cu1 0.1682 0.0000 0.2610  2 Ni 2.49, 5 Cu 2.49-2.59, 2 Mo 2.68
Cu2 0.8318 0.0000 0.7390  2 Ni 2.49, 5 Cu 2.49-2.59, 2 Mo 2.68
Ni1 0.0000 0.5000 0.5000  4 Cu 2.49, 2 Mo 2.50, 2 Ni 2.54
Mo1 0.5000 0.5000 0.0000  2 Ni 2.50, 2 Mo 2.54, 4 Cu 2.68

Energy relative to the lowest polymorph listed for this composition = 0.115 eV per atom
Energy of formation = 0.178 eV per atom
Volume = 12.739 Å³ per atom


Record 2
This record from Alexandria via LeMat-Bulk describes CuNi6Mo2 after structural relaxation. The functional is GGA-PBE.

a = 7.7370 Å, b = 7.7370 Å, c = 3.6000 Å
α = 90.00°, β = 90.00°, γ = 90.00°
With the nearest neighbours (Å) after each atom.
Element x y z (fractional)
Cu1 0.0000 0.0000 0.0000  8 Ni 2.53-2.56, 4 Mo 2.64
Cu2 0.5000 0.5000 0.5000  8 Ni 2.53-2.56, 4 Mo 2.64
Ni1 0.0037 0.3311 0.0000  3 Mo 2.53-2.54, 1 Cu 2.56, 8 Ni 2.57-2.61
Ni2 0.1618 0.8382 0.5000  4 Mo 2.52-2.62, 2 Cu 2.53, 6 Ni 2.57-2.59
Ni3 0.1689 0.5037 0.5000  3 Mo 2.53-2.54, 1 Cu 2.56, 8 Ni 2.57-2.61
Ni4 0.3311 0.0037 0.0000  3 Mo 2.53-2.54, 1 Cu 2.56, 8 Ni 2.57-2.61
Ni5 0.3382 0.3382 0.0000  4 Mo 2.52-2.62, 2 Cu 2.53, 6 Ni 2.57-2.59
Ni6 0.4963 0.8311 0.5000  3 Mo 2.53-2.54, 1 Cu 2.56, 8 Ni 2.57-2.61
Ni7 0.5037 0.1689 0.5000  3 Mo 2.53-2.54, 1 Cu 2.56, 8 Ni 2.57-2.61
Ni8 0.6618 0.6618 0.0000  4 Mo 2.52-2.62, 2 Cu 2.53, 6 Ni 2.57-2.59
Ni9 0.6689 0.9963 0.0000  3 Mo 2.53-2.54, 1 Cu 2.56, 8 Ni 2.57-2.61
Ni10 0.8311 0.4963 0.5000  3 Mo 2.53-2.54, 1 Cu 2.56, 8 Ni 2.57-2.61
Ni11 0.8382 0.1618 0.5000  4 Mo 2.52-2.62, 2 Cu 2.53, 6 Ni 2.57-2.59
Ni12 0.9963 0.6689 0.0000  3 Mo 2.53-2.54, 1 Cu 2.56, 8 Ni 2.57-2.61
Mo1 0.1768 0.1768 0.5000  10 Ni 2.52-2.62, 2 Cu 2.64
Mo2 0.3232 0.6768 0.0000  10 Ni 2.52-2.62, 2 Cu 2.64
Mo3 0.6768 0.3232 0.0000  10 Ni 2.52-2.62, 2 Cu 2.64
Mo4 0.8232 0.8232 0.5000  10 Ni 2.52-2.62, 2 Cu 2.64

Energy of formation = -0.039 eV per atom
Volume = 11.972 Å³ per atom


Record 3
This record from Alexandria via LeMat-Bulk describes Cu2NiMo after structural relaxation. The functional is GGA-PBE.

a = 8.5858 Å, b = 8.5858 Å, c = 8.5858 Å
α = 17.78°, β = 17.78°, γ = 17.78°
With the nearest neighbours (Å) after each atom.
Element x y z (fractional)
Cu1 0.0000 0.0000 0.0000  9 Cu 2.54-2.65, 3 Mo 2.74
Cu2 0.2534 0.2534 0.2534  3 Ni 2.54, 9 Cu 2.54-2.65
Ni1 0.5068 0.5068 0.5068  3 Cu 2.54, 3 Mo 2.62, 6 Ni 2.65
Mo1 0.7565 0.7565 0.7565  3 Ni 2.62, 6 Mo 2.65, 3 Cu 2.74

Energy relative to the lowest polymorph listed for this composition = 0.076 eV per atom
Energy of formation = 0.140 eV per atom
Volume = 12.877 Å³ per atom


Record 4
This record from Alexandria via LeMat-Bulk describes Cu2NiMo after structural relaxation. The functional is GGA-PBE.

a = 2.5948 Å, b = 2.5948 Å, c = 7.5355 Å
α = 90.00°, β = 90.00°, γ = 90.00°
With the nearest neighbours (Å) after each atom.
Element x y z (fractional)
Cu1 0.0000 0.0000 0.2282  4 Ni 2.51, 4 Cu 2.59, 4 Mo 2.75
Cu2 0.0000 0.0000 0.7718  4 Ni 2.51, 4 Cu 2.59, 4 Mo 2.75
Ni1 0.5000 0.5000 0.0000  8 Cu 2.51, 4 Ni 2.59
Mo1 0.5000 0.5000 0.5000  4 Mo 2.59, 8 Cu 2.75

Energy relative to the lowest polymorph listed for this composition = 0.083 eV per atom
Energy of formation = 0.146 eV per atom
Volume = 12.684 Å³ per atom


Record 5
This record from Alexandria via LeMat-Bulk describes Cu2NiMo after structural relaxation. The functional is GGA-PBE.

a = 5.0544 Å, b = 5.0544 Å, c = 5.0544 Å
α = 149.61°, β = 127.57°, γ = 61.81°
With the nearest neighbours (Å) after each atom.
Element x y z (fractional)
Cu1 0.0000 0.0000 0.0000  2 Ni 2.46, 4 Cu 2.48-2.65, 4 Mo 2.60
Cu2 0.7582 0.2582 0.5000  4 Cu 2.48-2.65, 4 Ni 2.60, 2 Mo 2.69
Ni1 0.2387 0.7387 0.5000  6 Cu 2.46-2.60, 2 Mo 2.54, 2 Ni 2.65
Mo1 0.4881 0.4881 0.0000  2 Ni 2.54, 6 Cu 2.60-2.69, 2 Mo 2.65

Energy relative to the lowest polymorph listed for this composition = 0.188 eV per atom
Energy of formation = 0.251 eV per atom
Volume = 12.826 Å³ per atom


Record 6
This record from Alexandria via LeMat-Bulk describes Cu2NiMo after structural relaxation. The functional is GGA-PBE.

a = 2.6308 Å, b = 2.6308 Å, c = 7.3198 Å
α = 90.00°, β = 90.00°, γ = 90.00°
With the nearest neighbours (Å) after each atom.
Element x y z (fractional)
Cu1 0.0000 0.0000 0.0000  4 Ni 2.52, 8 Cu 2.55-2.63
Cu2 0.5000 0.5000 0.2375  8 Cu 2.55-2.63, 4 Mo 2.75
Ni1 0.5000 0.5000 0.7678  4 Cu 2.52, 4 Mo 2.63, 4 Ni 2.63
Mo1 0.0000 0.0000 0.5148  4 Ni 2.63, 4 Mo 2.63, 4 Cu 2.75

Energy relative to the lowest polymorph listed for this composition = 0.000 eV per atom
Energy of formation = 0.063 eV per atom
Volume = 12.666 Å³ per atom


Record 7
This record from Alexandria via LeMat-Bulk describes Cu4NiMo after structural relaxation. The functional is GGA-PBE.

a = 4.7324 Å, b = 4.7324 Å, c = 4.7324 Å
α = 60.00°, β = 60.00°, γ = 60.00°
With the nearest neighbours (Å) after each atom.
Element x y z (fractional)
Cu1 0.1252 0.1252 0.1252  6 Cu 2.36-2.37
Cu2 0.1252 0.1252 0.6243  6 Cu 2.36-2.37
Cu3 0.1252 0.6243 0.1252  6 Cu 2.36-2.37
Cu4 0.6243 0.1252 0.1252  6 Cu 2.36-2.37
Ni1 0.5000 0.5000 0.5000  12 Cu 2.77, 4 Mo 2.90
Mo1 0.7500 0.7500 0.7500  12 Cu 2.78, 4 Ni 2.90

Energy of formation = 0.270 eV per atom
Volume = 12.490 Å³ per atom


Record 8
This record from Alexandria via LeMat-Bulk describes CuNiMo after structural relaxation. The functional is GGA-PBE.

a = 4.1655 Å, b = 4.1655 Å, c = 2.5411 Å
α = 90.00°, β = 90.00°, γ = 120.00°
With the nearest neighbours (Å) after each atom.
Element x y z (fractional)
Cu1 0.0000 0.0000 0.0000  3 Ni 2.40, 2 Cu 2.54
Ni1 0.3333 0.6667 0.0000  3 Cu 2.40, 2 Ni 2.54
Mo1 0.6667 0.3333 0.5000  2 Mo 2.54, 6 Cu 2.72, 6 Ni 2.72

Energy relative to the lowest polymorph listed for this composition = 0.000 eV per atom
Energy of formation = 0.039 eV per atom
Volume = 12.728 Å³ per atom